! Ho2MnAl2Ni5 (PBE, optimized geometry); values from VASP
&SYSTEM
  ibrav = 0, nat = 20, ntyp = 4
/
ATOMIC_SPECIES
Ho 164.93 Ho.upf
Mn 54.94 Mn.upf
Al 26.98 Al.upf
Ni 58.69 Ni.upf
ATOMIC_POSITIONS crystal
Ho 0.1751 0.3249 0.0000
Ho 0.3249 0.8249 0.0000
Ho 0.6751 0.1751 0.0000
Ho 0.8249 0.6751 0.0000
Mn 0.0000 0.0000 0.0000
Mn 0.5000 0.5000 0.0000
Al 0.1245 0.6245 0.0000
Al 0.3755 0.1245 0.0000
Al 0.6245 0.8755 0.0000
Al 0.8755 0.3755 0.0000
Ni 0.0000 0.5000 0.5000
Ni 0.0546 0.8021 0.5000
Ni 0.1979 0.0546 0.5000
Ni 0.3021 0.5546 0.5000
Ni 0.4454 0.3021 0.5000
Ni 0.5000 0.0000 0.5000
Ni 0.5546 0.6979 0.5000
Ni 0.6979 0.4454 0.5000
Ni 0.8021 0.9454 0.5000
Ni 0.9454 0.1979 0.5000
CELL_PARAMETERS angstrom
9.7161 0.0000 0.0000
0.0000 9.7161 0.0000
0.0000 0.0000 3.2347
! Total DFT energy (no corrections) = -5.7750 eV per atom


! NbPb3N (PBE, optimized geometry); values from VASP
&SYSTEM
  ibrav = 0, nat = 5, ntyp = 3
/
ATOMIC_SPECIES
Nb 92.91 Nb.upf
Pb 207.20 Pb.upf
N 14.01 N.upf
ATOMIC_POSITIONS crystal
Nb 0.0000 0.0000 0.0000
Pb 0.0000 0.5000 0.5000
Pb 0.5000 0.0000 0.5000
Pb 0.5000 0.5000 0.0000
N 0.5000 0.5000 0.5000
CELL_PARAMETERS angstrom
4.8493 0.0000 0.0000
0.0000 4.8493 0.0000
0.0000 0.0000 4.8493
! ΔE_f (raw) = 1.017 eV/atom
! ΔE to the lowest computed polymorph = 0 meV per atom


! V2CoNiPt2 (PBE, optimized geometry); values from VASP
&SYSTEM
  ibrav = 0, nat = 12, ntyp = 4
/
ATOMIC_SPECIES
V 50.94 V.upf
Co 58.93 Co.upf
Ni 58.69 Ni.upf
Pt 195.08 Pt.upf
ATOMIC_POSITIONS crystal
V 0.1247 0.2032 0.3280
V 0.3753 0.7032 0.0785
V 0.6247 0.2968 0.9215
V 0.8753 0.7968 0.6720
Co 0.2500 0.2500 0.0000
Co 0.7500 0.7500 0.0000
Ni 0.2500 0.7500 0.5000
Ni 0.7500 0.2500 0.5000
Pt 0.1833 0.6910 0.8743
Pt 0.3167 0.1910 0.5077
Pt 0.6833 0.8090 0.4923
Pt 0.8167 0.3090 0.1257
CELL_PARAMETERS angstrom
-2.4973 6.7251 2.4470
2.4973 -6.7251 2.4470
2.4973 6.7251 -2.4470
! Total DFT energy (no corrections) = -7.3841 eV per atom


! Ac2LaC (PBE, optimized geometry); values from VASP
&SYSTEM
  ibrav = 0, nat = 4, ntyp = 3
/
ATOMIC_SPECIES
Ac 227.00 Ac.upf
La 138.91 La.upf
C 12.01 C.upf
ATOMIC_POSITIONS crystal
Ac 0.0713 0.0713 0.0713
Ac 0.9287 0.9287 0.9287
La 0.5000 0.5000 0.5000
C 0.0000 0.0000 0.0000
CELL_PARAMETERS angstrom
2.0386 1.1770 10.9299
-2.0386 1.1770 10.9299
0.0000 -2.3539 10.9299
! Total DFT energy (no corrections) = -4.5555 eV per atom


! SrNdMg2Tl4 (PBE, optimized geometry); values from VASP
&SYSTEM
  ibrav = 0, nat = 8, ntyp = 4
/
ATOMIC_SPECIES
Sr 87.62 Sr.upf
Nd 144.24 Nd.upf
Mg 24.30 Mg.upf
Tl 204.38 Tl.upf
ATOMIC_POSITIONS crystal
Sr 0.0000 0.0000 0.0000
Nd 0.5000 0.5000 0.5000
Mg 0.2485 0.2485 0.2485
Mg 0.7515 0.7515 0.7515
Tl 0.1249 0.1249 0.1249
Tl 0.3776 0.3776 0.3776
Tl 0.6224 0.6224 0.6224
Tl 0.8751 0.8751 0.8751
CELL_PARAMETERS angstrom
2.6865 1.5510 8.9687
-2.6865 1.5510 8.9687
0.0000 -3.1021 8.9687
! Total DFT energy (no corrections) = -2.6559 eV per atom


! Ac3Ga2Pd6Au (PBE, optimized geometry); values from VASP
&SYSTEM
  ibrav = 0, nat = 12, ntyp = 4
/
ATOMIC_SPECIES
Ac 227.00 Ac.upf
Ga 69.72 Ga.upf
Pd 106.42 Pd.upf
Au 196.97 Au.upf
ATOMIC_POSITIONS crystal
Ac 0.0000 0.0000 0.0000
Ac 0.3333 0.6667 0.6221
Ac 0.6667 0.3333 0.3779
Ga 0.3333 0.6667 0.0343
Ga 0.6667 0.3333 0.9657
Pd 0.1741 0.3482 0.2680
Pd 0.1741 0.8259 0.2680
Pd 0.3482 0.1741 0.7320
Pd 0.6518 0.8259 0.2680
Pd 0.8259 0.1741 0.7320
Pd 0.8259 0.6518 0.7320
Au 0.0000 0.0000 0.5000
CELL_PARAMETERS angstrom
5.8541 0.0000 0.0000
-2.9271 5.0698 0.0000
0.0000 0.0000 9.1490
! Total DFT energy (no corrections) = -5.0729 eV per atom


! ScBe (PBE, optimized geometry); values from VASP
&SYSTEM
  ibrav = 0, nat = 6, ntyp = 2
/
ATOMIC_SPECIES
Sc 44.96 Sc.upf
Be 9.01 Be.upf
ATOMIC_POSITIONS crystal
Sc 0.0000 0.0000 0.0000
Sc 0.0083 0.0083 0.5193
Sc 0.2880 0.2880 0.1472
Be 0.3039 0.3039 0.6431
Be 0.6794 0.6794 0.4051
Be 0.7018 0.7018 0.7818
CELL_PARAMETERS angstrom
5.2887 -1.5637 0.0000
5.2887 1.5637 0.0000
-2.0659 0.0000 5.8155
! Total DFT energy (no corrections) = -4.9630 eV per atom


! Rb4SbBr6 (PBE, optimized geometry); values from VASP
&SYSTEM
  ibrav = 0, nat = 22, ntyp = 3
/
ATOMIC_SPECIES
Rb 85.47 Rb.upf
Sb 121.76 Sb.upf
Br 79.90 Br.upf
ATOMIC_POSITIONS crystal
Rb 0.1642 0.3358 0.2500
Rb 0.1642 0.3358 0.7500
Rb 0.3358 0.8358 0.2500
Rb 0.3358 0.8358 0.7500
Rb 0.6642 0.1642 0.2500
Rb 0.6642 0.1642 0.7500
Rb 0.8358 0.6642 0.2500
Rb 0.8358 0.6642 0.7500
Sb 0.0000 0.0000 0.0000
Sb 0.5000 0.5000 0.5000
Br 0.0000 0.0000 0.2943
Br 0.0000 0.0000 0.7057
Br 0.1106 0.6812 0.0000
Br 0.1812 0.6106 0.5000
Br 0.3188 0.1106 0.0000
Br 0.3894 0.1812 0.5000
Br 0.5000 0.5000 0.2057
Br 0.5000 0.5000 0.7943
Br 0.6106 0.8188 0.5000
Br 0.6812 0.8894 0.0000
Br 0.8188 0.3894 0.5000
Br 0.8894 0.3188 0.0000
CELL_PARAMETERS angstrom
9.5060 0.0000 0.0000
0.0000 9.5060 0.0000
0.0000 0.0000 9.5552
! ΔE_f (raw) = -1.302 eV/atom


! CaCeH2 (PBE, optimized geometry); values from VASP
&SYSTEM
  ibrav = 0, nat = 4, ntyp = 3
/
ATOMIC_SPECIES
Ca 40.08 Ca.upf
Ce 140.12 Ce.upf
H 1.01 H.upf
ATOMIC_POSITIONS crystal
Ca 0.0000 0.0000 0.0000
Ce 0.5000 0.5000 0.5000
H 0.2491 0.2491 0.2491
H 0.7509 0.7509 0.7509
CELL_PARAMETERS angstrom
1.7711 1.0225 6.0071
-1.7711 1.0225 6.0071
0.0000 -2.0451 6.0071
! ΔE to the lowest computed polymorph = 0 meV per atom


! MoC (PBE, optimized geometry); values from VASP
&SYSTEM
  ibrav = 0, nat = 16, ntyp = 2
/
ATOMIC_SPECIES
Mo 95.94 Mo.upf
C 12.01 C.upf
ATOMIC_POSITIONS crystal
Mo 0.0021 0.2500 0.1771
Mo 0.2478 0.2500 0.6786
Mo 0.2522 0.7500 0.1786
Mo 0.4979 0.7500 0.6771
Mo 0.5021 0.2500 0.3229
Mo 0.7478 0.2500 0.8214
Mo 0.7522 0.7500 0.3214
Mo 0.9979 0.7500 0.8229
C 0.0000 0.2500 0.7863
C 0.0000 0.7500 0.2137
C 0.2453 0.2500 0.3119
C 0.2547 0.7500 0.8119
C 0.5000 0.2500 0.7137
C 0.5000 0.7500 0.2863
C 0.7453 0.2500 0.1881
C 0.7547 0.7500 0.6881
CELL_PARAMETERS angstrom
8.4018 0.0000 0.0000
0.0000 4.1511 0.0000
0.0000 0.0000 5.4951
! ΔE to the lowest computed polymorph = 373 meV per atom